Entry 1:
Here is a relaxed Er2HCCl2 crystal from Alexandria via LeMat-Bulk. Energies are from PBE.

Results
Its crystal system is orthorhombic. For the energy, the calculation gives -5.366 eV/atom. The calculation puts the total magnetization at 0.0 Bohr magnetons per cell.

Lattice parameters (Å, degrees): 3.738 5.872 10.716 90.00 90.00 90.00
Fractional positions:
Er: 0.000 0.286 0.696
Er: 0.500 0.302 0.420
Er: 0.000 0.786 0.304
Er: 0.500 0.802 0.580
H: 0.500 0.172 0.622
H: 0.500 0.672 0.378
C: 0.000 0.031 0.479
C: 0.000 0.531 0.521
Cl: 0.500 0.896 0.142
Cl: 0.000 0.359 0.224
Cl: 0.500 0.396 0.858
Cl: 0.000 0.859 0.776

=====

Entry 2:
Here is a relaxed HgOsSCl2 crystal from Alexandria via LeMat-Bulk. Energies are from PBE.

Results
The calculation puts the relative energy among the computed polymorphs at 0.488 eV/atom. Its crystal system is tetragonal. The value obtained for the uncorrected formation energy is 0.65 eV per atom. For the energy, the calculation gives -3.225 eV/atom. The calculation puts the total magnetization at 0.6 Bohr magnetons per cell.

Lattice parameters (Å, degrees): 4.483 5.847 4.483 90.00 90.00 90.00
Last column: magnetic moment on the atom in μB.
Fractional positions:
S: 0.500 0.500 0.500  0.05
Os: 0.000 0.000 0.000  0.39
Hg: 0.000 0.500 0.000  0.00
Cl: 0.000 0.000 0.500  0.02
Cl: 0.500 0.000 0.000  0.08

=====

Entry 3:
Here is a relaxed AcBi2IO4 crystal from Alexandria via LeMat-Bulk. Energies are from PBE.

Results
Its crystal system is tetragonal. The value obtained for the uncorrected formation energy is -1.87 eV per atom. For the energy, the calculation gives -6.025 eV/atom. The calculation puts the total magnetization at 0.0 Bohr magnetons per cell.

Lattice parameters (Å, degrees): 4.091 4.091 9.956 90.00 90.00 90.00
Fractional positions:
Ac: 0.000 0.000 0.000
Bi: 0.500 0.500 0.264
Bi: 0.500 0.500 0.736
I: 0.000 0.000 0.500
O: 0.000 0.500 0.159
O: 0.500 0.000 0.841
O: 0.500 0.000 0.159
O: 0.000 0.500 0.841

=====

Q: Among the records above, which one has the highest total magnetization?
A: HgOsSCl2